1.
# Ba2AlPt3 (PBE, relaxed)
# Fermi-level density of states = 2.70 states/eV/cell
# total DFT energy (no corrections) = -4.815 eV per atom
# DFT formation energy = -0.53 eV/atom
# space group = Immm
data_Ba2AlPt3
_space_group_name_H-M_alt 'P 1'
_space_group_IT_number 1
_cell_length_a 4.307
_cell_length_b 5.943
_cell_length_c 7.265
_cell_angle_alpha 114.14
_cell_angle_beta 107.24
_cell_angle_gamma 90.00
loop_
_space_group_symop_operation_xyz
'x,y,z'
loop_
_atom_site_label
_atom_site_type_symbol
_atom_site_fract_x
_atom_site_fract_y
_atom_site_fract_z
Ba1 Ba 0.678 0.178 0.356
Ba2 Ba 0.322 0.822 0.644
Al1 Al 0.000 0.500 0.000
Pt1 Pt 0.389 0.389 0.779
Pt2 Pt 0.000 0.000 0.000
Pt3 Pt 0.611 0.611 0.221

---

2.
# Ag2Pt2Au3 (PBE, relaxed)
# energy relative to the lowest polymorph listed for this composition = 0 meV per atom
# Fermi-level density of states = 3.13 states/eV/cell
# total DFT energy (no corrections) = -3.961 eV per atom
# DFT formation energy = -0.02 eV/atom
# space group = C2/m
data_Ag2Pt2Au3
_space_group_name_H-M_alt 'P 1'
_space_group_IT_number 1
_cell_length_a 5.050
_cell_length_b 5.050
_cell_length_c 8.693
_cell_angle_alpha 95.79
_cell_angle_beta 95.79
_cell_angle_gamma 33.07
loop_
_space_group_symop_operation_xyz
'x,y,z'
loop_
_atom_site_label
_atom_site_type_symbol
_atom_site_fract_x
_atom_site_fract_y
_atom_site_fract_z
Ag1 Ag 0.923 0.423 0.714
Ag2 Ag 0.077 0.577 0.286
Pt1 Pt 0.787 0.287 0.135
Pt2 Pt 0.213 0.713 0.865
Au1 Au 0.500 0.000 0.000
Au2 Au 0.358 0.858 0.418
Au3 Au 0.642 0.142 0.582

---

3.
# SmTmSc (PBE, relaxed)
# energy relative to the lowest polymorph listed for this composition = 14 meV per atom
# Fermi-level density of states = 4.73 states/eV/cell
# total DFT energy (no corrections) = -5.125 eV per atom
# DFT formation energy = 0.05 eV/atom
# space group = I4mm
data_SmTmSc
_space_group_name_H-M_alt 'P 1'
_space_group_IT_number 1
_cell_length_a 3.477
_cell_length_b 3.477
_cell_length_c 7.682
_cell_angle_alpha 103.08
_cell_angle_beta 103.08
_cell_angle_gamma 90.00
loop_
_space_group_symop_operation_xyz
'x,y,z'
loop_
_atom_site_label
_atom_site_type_symbol
_atom_site_fract_x
_atom_site_fract_y
_atom_site_fract_z
Sc1 Sc 0.668 0.668 0.336
Tm1 Tm 0.327 0.327 0.655
Sm1 Sm 0.004 0.004 0.009

---

4.
# LaReN2 (PBE, relaxed)
# energy relative to the lowest polymorph listed for this composition = 1077 meV per atom
# Fermi-level density of states = 5.24 states/eV/cell
# total DFT energy (no corrections) = -8.334 eV per atom
# space group = R-3m
# formation energy without anion corrections = 16.7 kJ per mole of atoms
data_LaReN2
_space_group_name_H-M_alt 'P 1'
_space_group_IT_number 1
_cell_length_a 6.547
_cell_length_b 6.547
_cell_length_c 6.547
_cell_angle_alpha 29.91
_cell_angle_beta 29.91
_cell_angle_gamma 29.91
loop_
_space_group_symop_operation_xyz
'x,y,z'
loop_
_atom_site_label
_atom_site_type_symbol
_atom_site_fract_x
_atom_site_fract_y
_atom_site_fract_z
Re1 Re 0.500 0.500 0.500
N1 N 0.875 0.875 0.875
N2 N 0.125 0.125 0.125
La1 La 0.000 0.000 0.000

---

Look up the total DFT energy (no corrections) of the third one. -5.125 eV per atom

---

Copy entry 4 word for word.
# LaReN2 (PBE, relaxed)
# energy relative to the lowest polymorph listed for this composition = 1077 meV per atom
# Fermi-level density of states = 5.24 states/eV/cell
# total DFT energy (no corrections) = -8.334 eV per atom
# space group = R-3m
# formation energy without anion corrections = 16.7 kJ per mole of atoms
data_LaReN2
_space_group_name_H-M_alt 'P 1'
_space_group_IT_number 1
_cell_length_a 6.547
_cell_length_b 6.547
_cell_length_c 6.547
_cell_angle_alpha 29.91
_cell_angle_beta 29.91
_cell_angle_gamma 29.91
loop_
_space_group_symop_operation_xyz
'x,y,z'
loop_
_atom_site_label
_atom_site_type_symbol
_atom_site_fract_x
_atom_site_fract_y
_atom_site_fract_z
Re1 Re 0.500 0.500 0.500
N1 N 0.875 0.875 0.875
N2 N 0.125 0.125 0.125
La1 La 0.000 0.000 0.000